[1]
VASP calculation (SCAN) on a crystal of Mg2CdSb relaxed with PBEsol.

POSCAR file:
```
Mg2CdSb
1.0
3.126 -0.001 0.000
0.003 5.376 -0.694
-0.001 -0.659 5.412
Cd Mg Sb
1 2 1
direct
0.375 0.501 0.126 Cd
0.875 0.001 0.124 Mg
0.875 0.499 0.627 Mg
0.375 0.999 0.623 Sb
```

Total magnetic moment in μB/atom: 0.000
Formation energy (no corrections) in eV/atom: -0.15
N(E_F) in states/eV/atom: 0.32
ρ in g/cm³: 5.245
DFT total energy in eV per atom: -19.5578


[2]
VASP calculation (SCAN) on a crystal of Mg2CdSb relaxed with PBEsol.

POSCAR file:
```
Mg2CdSb
1.0
3.419 0.000 0.000
0.000 4.392 0.000
0.000 0.000 6.099
Sb Mg Cd
1 2 1
direct
0.000 0.000 0.473 Sb
0.500 0.500 0.267 Mg
0.000 0.000 0.976 Mg
0.500 0.500 0.783 Cd
```

Total magnetic moment in μB/atom: 0.000
Formation energy (no corrections) in eV/atom: -0.10
N(E_F) in states/eV/atom: 0.44
ρ in g/cm³: 5.128
DFT total energy in eV per atom: -19.5079


[3]
VASP calculation (SCAN) on a crystal of MgCdSb3 relaxed with PBEsol.

POSCAR file:
```
MgCdSb3
1.0
5.306 0.000 0.000
0.000 5.306 0.000
0.000 0.000 5.306
Mg Cd Sb
1 1 3
direct
0.000 0.000 0.000 Mg
0.500 0.500 0.500 Cd
0.500 0.000 0.000 Sb
0.000 0.000 0.500 Sb
0.000 0.500 0.000 Sb
```

Total magnetic moment in μB/atom: 0.000
Formation energy (no corrections) in eV/atom: 0.60
N(E_F) in states/eV/atom: 0.72
ρ in g/cm³: 5.581
DFT total energy in eV per atom: -28.8305